DFT (PBEsol) results for a geometry-optimized Li2InAg structure.

Computed properties:
The calculation puts the raw total energy at -2.869 eV per atom.

a b c (Å): 4.581 4.581 4.581
angles (deg): 60.00 60.00 60.00
Sites, in units of the cell vectors:
Li  0.000  0.000  0.000
Li  0.250  0.250  0.250
In  0.500  0.500  0.500
Ag  0.750  0.750  0.750

DFT (PBEsol) results for a geometry-optimized Li2InAg2 structure.

Computed properties:
The calculation puts the relative energy among the computed polymorphs at 0 meV per atom. The calculation puts the raw total energy at -2.906 eV per atom.

a b c (Å): 7.382 7.382 3.121
angles (deg): 90.00 90.00 90.00
Sites, in units of the cell vectors:
Li  0.163  0.337  0.000
Li  0.337  0.837  0.000
Li  0.663  0.163  0.000
Li  0.837  0.663  0.000
In  0.000  0.000  0.500
In  0.500  0.500  0.500
Ag  0.133  0.633  0.500
Ag  0.367  0.133  0.500
Ag  0.633  0.867  0.500
Ag  0.867  0.367  0.500

DFT (PBEsol) results for a geometry-optimized Li2InAg structure.

Computed properties:
The calculation puts the raw total energy at -2.758 eV per atom.

a b c (Å): 3.326 3.326 6.314
angles (deg): 90.00 90.00 90.00
Sites, in units of the cell vectors:
Li  0.000  0.000  0.000
Li  0.500  0.500  0.252
In  0.500  0.500  0.741
Ag  0.000  0.000  0.469

DFT (PBEsol) results for a geometry-optimized LuInAg2 structure.

Computed properties:
The calculation puts the raw total energy at -4.000 eV per atom.

a b c (Å): 4.794 4.794 4.794
angles (deg): 60.00 60.00 60.00
Sites, in units of the cell vectors:
Lu  0.000  0.000  0.000
In  0.500  0.500  0.500
Ag  0.250  0.250  0.250
Ag  0.750  0.750  0.750

no.,energy of formation (kJ per mole of atoms)
1,-30.1
2,-19.2
3,-19.5
4,-36.7